Pm5Sm2Dy12: relaxed, PBE-GGA.

Computed properties:
Space-group type   No. 12
D(E_F)   1.4943 states/eV/atom
ΔH_f (0 K)   0.173 eV/atom
DFT total energy   -85.1 eV/cell
Magnetization   0.00 μB per formula unit

Cell lengths 7.064, 9.817, 10.415 Å; angles 70.46, 90.00, 111.09 degrees
Positions (direct):
Pm 0.320 0.640 0.212
Dy 0.026 0.051 0.753
Pm 0.188 0.377 0.816
Dy 0.912 0.318 0.131
Sm 0.275 0.000 0.000
Dy 0.089 0.673 0.522
Dy 0.503 0.006 0.327
Dy 0.911 0.327 0.478
Dy 0.416 0.327 0.478
Dy 0.406 0.318 0.131
Dy 0.497 0.994 0.673
Dy 0.594 0.682 0.869
Sm 0.725 0.000 0.000
Dy 0.974 0.949 0.247
Dy 0.584 0.673 0.522
Dy 0.088 0.682 0.869
Pm 0.000 0.000 0.500
Pm 0.812 0.623 0.184
Pm 0.680 0.360 0.788